No. 1
Compound: AlCdNi2N
Source: Alexandria via LeMat-Bulk
Functional: PBE
Structure: optimized geometry

Unit cell a=4.673 b=4.673 c=4.815 alpha=90.00 beta=90.00 gamma=90.00
Space group P4/mmm (No. 123)
One atom of each set of equivalent atoms:
Al 0.000 0.000 0.000 x1
Cd 0.000 0.000 0.500 x1
Ni 0.000 0.500 0.500 x2
N 0.500 0.500 0.000 x1

## Properties
Total energy = -2.701 eV per atom
Uncorrected formation energy = 2.208 eV/atom

No. 2
Compound: AlCdNO2
Source: Alexandria via LeMat-Bulk
Functional: PBE
Structure: optimized geometry

Unit cell a=3.768 b=3.768 c=3.880 alpha=90.00 beta=90.00 gamma=90.00
Space group P4/mmm (No. 123)
One atom of each set of equivalent atoms:
Al 0.000 0.000 0.000 x1
Cd 0.500 0.500 0.500 x1
N 0.000 0.000 0.500 x1
O 0.000 0.500 0.000 x2

## Properties
Total energy = -5.340 eV per atom
Uncorrected formation energy = -0.760 eV/atom

Question: The lowest uncorrected formation energy belongs to which entry?
Answer: AlCdNO2

Question: Look up the uncorrected formation energy of the second one.
Answer: -0.760 eV/atom